*P*
# ZrFeTe2I, relaxed, DFT PBE
# **Calculated volume**: 128.0 Å³ per cell
# **SG**: No. 123
data_ZrFeTe2I
_symmetry_space_group_name_H-M 'P 1'
_symmetry_Int_Tables_number 1
_symmetry_space_group_name_Hall 'P 1'
_cell_length_a 5.028
_cell_length_b 5.028
_cell_length_c 5.063
_cell_angle_alpha 90.00
_cell_angle_beta 90.00
_cell_angle_gamma 90.00
loop_
_atom_site_label
_atom_site_type_symbol
_atom_site_fract_x
_atom_site_fract_y
_atom_site_fract_z
_atom_site_occupancy
Te1 Te 0.000 0.500 0.000 1
Zr1 Zr 0.500 0.500 0.500 1
Fe1 Fe 0.000 0.000 0.000 1
I1 I 0.000 0.000 0.500 1
Te2 Te 0.500 0.000 0.000 1

***

*Q*
# ZrFeTe2I, relaxed, DFT PBE
# **Calculated volume**: 182.0 Å³ per cell
# **SG**: No. 123
data_ZrFeTe2I
_symmetry_space_group_name_H-M 'P 1'
_symmetry_Int_Tables_number 1
_symmetry_space_group_name_Hall 'P 1'
_cell_length_a 5.610
_cell_length_b 5.610
_cell_length_c 5.783
_cell_angle_alpha 90.00
_cell_angle_beta 90.00
_cell_angle_gamma 90.00
loop_
_atom_site_label
_atom_site_type_symbol
_atom_site_fract_x
_atom_site_fract_y
_atom_site_fract_z
_atom_site_occupancy
I1 I 0.000 0.000 0.500 1
Te1 Te 0.000 0.500 0.000 1
Te2 Te 0.500 0.000 0.000 1
Zr1 Zr 0.000 0.000 0.000 1
Fe1 Fe 0.500 0.500 0.500 1

***

Of them, *P* has the lowest stability.

***

*P*
# ZrFeTeI2, relaxed, DFT PBE
# **Calculated volume**: 188.1 Å³ per cell
# **SG**: No. 123
data_ZrFeTeI2
_symmetry_space_group_name_H-M 'P 1'
_symmetry_Int_Tables_number 1
_symmetry_space_group_name_Hall 'P 1'
_cell_length_a 5.792
_cell_length_b 5.792
_cell_length_c 5.606
_cell_angle_alpha 90.00
_cell_angle_beta 90.00
_cell_angle_gamma 90.00
loop_
_atom_site_label
_atom_site_type_symbol
_atom_site_fract_x
_atom_site_fract_y
_atom_site_fract_z
_atom_site_occupancy
Zr1 Zr 0.000 0.000 0.000 1
Fe1 Fe 0.500 0.500 0.500 1
I1 I 0.000 0.500 0.000 1
I2 I 0.500 0.000 0.000 1
Te1 Te 0.000 0.000 0.500 1

***

*Q*
# ZrFeTeI2, relaxed, DFT PBE
# **Calculated volume**: 130.5 Å³ per cell
# **SG**: No. 123
data_ZrFeTeI2
_symmetry_space_group_name_H-M 'P 1'
_symmetry_Int_Tables_number 1
_symmetry_space_group_name_Hall 'P 1'
_cell_length_a 5.040
_cell_length_b 5.040
_cell_length_c 5.139
_cell_angle_alpha 90.00
_cell_angle_beta 90.00
_cell_angle_gamma 90.00
loop_
_atom_site_label
_atom_site_type_symbol
_atom_site_fract_x
_atom_site_fract_y
_atom_site_fract_z
_atom_site_occupancy
I1 I 0.000 0.500 0.000 1
Zr1 Zr 0.500 0.500 0.500 1
Fe1 Fe 0.000 0.000 0.000 1
Te1 Te 0.000 0.000 0.500 1
I2 I 0.500 0.000 0.000 1

***

Of them, *Q* has the lowest stability.

***

*P*
# TiFe3I, relaxed, DFT PBE
# **Calculated volume**: 93.1 Å³ per cell
# **SG**: No. 221
data_TiFe3I
_symmetry_space_group_name_H-M 'P 1'
_symmetry_Int_Tables_number 1
_symmetry_space_group_name_Hall 'P 1'
_cell_length_a 4.533
_cell_length_b 4.533
_cell_length_c 4.533
_cell_angle_alpha 90.00
_cell_angle_beta 90.00
_cell_angle_gamma 90.00
loop_
_atom_site_label
_atom_site_type_symbol
_atom_site_fract_x
_atom_site_fract_y
_atom_site_fract_z
_atom_site_occupancy
Ti1 Ti 0.000 0.000 0.000 1
Fe1 Fe 0.000 0.500 0.000 1
Fe2 Fe 0.500 0.000 0.000 1
Fe3 Fe 0.000 0.000 0.500 1
I1 I 0.500 0.500 0.500 1

***

*Q*
# TiFe3I, relaxed, DFT PBE
# **Calculated volume**: 96.7 Å³ per cell
# **SG**: No. 221
data_TiFe3I
_symmetry_space_group_name_H-M 'P 1'
_symmetry_Int_Tables_number 1
_symmetry_space_group_name_Hall 'P 1'
_cell_length_a 4.590
_cell_length_b 4.590
_cell_length_c 4.590
_cell_angle_alpha 90.00
_cell_angle_beta 90.00
_cell_angle_gamma 90.00
loop_
_atom_site_label
_atom_site_type_symbol
_atom_site_fract_x
_atom_site_fract_y
_atom_site_fract_z
_atom_site_occupancy
Fe1 Fe 0.000 0.500 0.000 1
Fe2 Fe 0.000 0.000 0.500 1
I1 I 0.000 0.000 0.000 1
Ti1 Ti 0.500 0.500 0.500 1
Fe3 Fe 0.500 0.000 0.000 1

***

Of them, *Q* has the lowest stability.